(1)
The following is a DFT calculation (PBE) of a geometry-optimized Li2ZnInN structure.

- Formation energy (no corrections): -0.08 eV per atom

Unit cell a=4.3413 b=4.3413 c=3.9334 alpha=90.00 beta=90.00 gamma=90.00
Space group P4/mmm (No. 123)
Symmetry-distinct sites (fractional):
Li 0.0000 0.5000 0.0000
Zn 0.0000 0.0000 0.5000
In 0.5000 0.5000 0.5000
N 0.0000 0.0000 0.0000

=====

(2)
The following is a DFT calculation (PBE) of a geometry-optimized LiZrIn2N structure.

- Formation energy (no corrections): 0.49 eV per atom
- Polymorph energy (0 for the lowest one): 0.00 eV per formula unit

Unit cell a=5.0989 b=5.0989 c=3.5392 alpha=90.00 beta=90.00 gamma=90.00
Space group P4/mmm (No. 123)
Symmetry-distinct sites (fractional):
Li 0.0000 0.0000 0.0000
Zr 0.5000 0.5000 0.5000
In 0.0000 0.5000 0.0000
N 0.0000 0.0000 0.5000

=====

(3)
The following is a DFT calculation (PBE) of a geometry-optimized LiZrIn2N structure.

- Formation energy (no corrections): 1.16 eV per atom
- Polymorph energy (0 for the lowest one): 3.37 eV per formula unit

Unit cell a=4.4316 b=4.4316 c=4.9882 alpha=90.00 beta=90.00 gamma=90.00
Space group P4/mmm (No. 123)
Symmetry-distinct sites (fractional):
Li 0.0000 0.0000 0.0000
Zr 0.0000 0.0000 0.5000
In 0.0000 0.5000 0.0000
N 0.5000 0.5000 0.5000

=====

(4)
The following is a DFT calculation (PBE) of a geometry-optimized Na2LiIn8 structure.

- ΔH_f (0 K): -93.9 meV/atom

Unit cell a=16.8836 b=4.7500 c=7.2642 alpha=90.00 beta=104.77 gamma=90.00
Space group C2/m (No. 12)
Symmetry-distinct sites (fractional):
Na 0.2252 0.0000 0.1403
Li 0.0000 0.5000 0.5000
In 0.0392 0.0000 0.2289
In 0.0879 0.5000 0.9406
In 0.1370 0.0000 0.6644
In 0.1740 0.5000 0.3969

=====

(5)
The following is a DFT calculation (PBE) of a geometry-optimized NaLi6In2 structure.

- ΔH_f (0 K): -148.2 meV/atom

Unit cell a=8.3578 b=8.3578 c=2.9880 alpha=90.00 beta=90.00 gamma=120.00
Space group P6/mmm (No. 191)
Symmetry-distinct sites (fractional):
Na 0.0000 0.0000 0.0000
Li 0.0000 0.3469 0.5000
In 0.3333 0.6667 0.0000

=====

(6)
The following is a DFT calculation (PBE) of a geometry-optimized Na2LiIn structure.

- ΔH_f (0 K): 12.6 meV/atom

Unit cell a=6.0183 b=3.4028 c=11.2012 alpha=90.00 beta=99.95 gamma=90.00
Space group Cm (No. 8)
Symmetry-distinct sites (fractional):
Na 0.0000 0.0000 0.0000
Na 0.1800 0.0000 0.4996
Li 0.2656 0.5000 0.2499
In 0.0901 0.5000 0.7499